LiNdNiGe2 | PBE | optimized geometry

Cell lengths 4.149, 4.149, 10.250 Å; angles 90.00, 90.00, 90.00 degrees
Space group I-4m2 (No. 119)
Symmetry-distinct sites (fractional):
Li (0.000, 0.000, 0.000) (multiplicity 2)
Nd (0.000, 0.500, 0.250) (multiplicity 2)
Ni (0.000, 0.000, 0.500) (multiplicity 2)
Ge (0.000, 0.500, 0.626) (multiplicity 4)

Output
- E (eV/atom) = -4.97
- density (g cm⁻³) = 6.68
- energy of formation from the pure elements (kJ/mol of formula units) = -305

Li2Nd2NiGe4 | PBE | optimized geometry

Cell lengths 6.180, 6.180, 8.878 Å; angles 90.00, 90.00, 90.00 degrees
Space group I4/mmm (No. 139)
Symmetry-distinct sites (fractional):
Li (0.000, 0.000, 0.214) (multiplicity 4)
Nd (0.000, 0.500, 0.250) (multiplicity 4)
Ni (0.000, 0.000, 0.500) (multiplicity 2)
Ge (0.224, 0.224, 0.000) (multiplicity 8)

Output
- E (eV/atom) = -4.70
- density (g cm⁻³) = 6.38
- energy of formation from the pure elements (kJ/mol of formula units) = -456